DFT (GGA+U) results for crystalline KFeRhF6 at its relaxed geometry.

Its space group is C2 (5). For the final energy, the calculation gives -4.99 eV per atom. The total moment is 4.17 μB/cell.

```
9
Lattice="2.745 -4.769 0.000 2.745 4.769 0.000 -0.006 0.000 5.714" Properties=species:S:1:pos:R:3 pbc="T T T"
K 0.000 0.000 0.000
Fe 2.742 1.589 2.857
Rh 2.742 -1.587 2.857
F 1.024 -1.709 3.930
F 2.006 -0.045 1.766
F 3.477 -0.045 3.948
F 1.799 -2.998 1.759
F 3.684 -2.998 3.954
F 4.460 -1.709 1.784
```